PBE La6TlSn2Te3, optimized geometry; uncorrected energy = -5.222 eV per atom
1.0
4.608 0.000 0.000
0.000 9.306 0.161
-2.304 -2.860 9.746
La Te Tl Sn
6 3 1 2
Direct
0.000 0.254 0.001 La
0.667 0.086 0.335 La
0.669 0.576 0.338 La
0.331 0.424 0.662 La
0.000 0.746 0.999 La
0.333 0.914 0.665 La
0.167 0.831 0.334 Te
0.500 0.500 0.000 Te
0.833 0.169 0.666 Te
0.500 0.000 0.000 Tl
0.835 0.671 0.670 Sn
0.165 0.329 0.330 Sn